1.
Entry from OQMD: BPd2W after structural relaxation (PBE).

```
BPd2W
1.0
0.000 2.994 2.994
2.994 0.000 2.994
2.994 2.994 0.000
B Pd W
1 2 1
Cartesian
0.000 0.000 0.000 B
2.994 2.994 2.994 Pd
4.490 4.490 4.490 Pd
1.497 1.497 1.497 W
```

## Properties
Raw total energy ... -6.999 eV/atom
Space-group type ... No. 216

2.
Entry from OQMD: TbHoCl2O2 after structural relaxation (PBE).

```
TbHoCl2O2
1.0
3.878 0.000 0.000
0.000 3.878 0.000
0.000 0.000 6.707
Tb Ho Cl O
1 1 2 2
Cartesian
0.000 0.000 0.000 Tb
1.939 1.939 2.259 Ho
0.000 0.000 3.630 Cl
1.939 1.939 5.363 Cl
0.000 1.939 1.154 O
1.939 0.000 1.154 O
```

## Properties
Raw total energy ... -6.879 eV/atom
Space-group type ... No. 99

3.
Entry from OQMD: PmHoAsO after structural relaxation (PBE).

```
PmHoAsO
1.0
4.294 0.000 0.000
0.000 4.294 0.000
0.000 0.000 9.107
Pm Ho As O
2 2 2 2
Cartesian
1.073 3.220 0.000 Pm
3.220 1.073 0.000 Pm
1.073 1.073 3.674 Ho
3.220 3.220 5.432 Ho
1.073 1.073 7.122 As
3.220 3.220 1.985 As
1.073 3.220 4.553 O
3.220 1.073 4.553 O
```

## Properties
Raw total energy ... -6.545 eV/atom
Space-group type ... No. 129

4.
Entry from OQMD: LiPdAu2 after structural relaxation (PBE).

```
LiPdAu2
1.0
4.416 0.000 0.000
-2.208 3.824 0.000
0.000 0.000 8.239
Li Pd Au
2 2 4
Cartesian
0.000 0.000 0.000 Li
0.000 0.000 4.120 Li
0.000 2.549 2.060 Pd
2.208 1.275 6.179 Pd
0.000 2.549 4.828 Au
0.000 2.549 7.531 Au
2.208 1.275 0.708 Au
2.208 1.275 3.412 Au
```

## Properties
Raw total energy ... -3.686 eV/atom
Space-group type ... No. 194

5.
Entry from OQMD: Pm2CuSb4 after structural relaxation (PBE).

```
Pm2CuSb4
1.0
4.395 0.000 0.000
0.000 4.395 0.000
0.000 0.000 9.593
Pm Cu Sb
2 1 4
Cartesian
0.000 2.197 2.279 Pm
2.197 0.000 7.314 Pm
2.197 2.197 0.000 Cu
0.000 0.000 4.796 Sb
0.000 2.197 8.255 Sb
2.197 0.000 1.338 Sb
2.197 2.197 4.796 Sb
```

## Properties
Raw total energy ... -4.974 eV/atom
Space-group type ... No. 115

6.
Entry from OQMD: CdGa2Ag after structural relaxation (PBE).

```
CdGa2Ag
1.0
0.000 3.416 3.416
3.416 0.000 3.416
3.416 3.416 0.000
Cd Ga Ag
1 2 1
Cartesian
0.000 0.000 0.000 Cd
1.708 1.708 1.708 Ga
3.416 3.416 3.416 Ga
5.124 5.124 5.124 Ag
```

## Properties
Raw total energy ... -2.368 eV/atom
Space-group type ... No. 216

7.
Entry from OQMD: Rb2NbHgBr6 after structural relaxation (PBE).

```
Rb2NbHgBr6
1.0
0.000 5.831 5.831
5.831 0.000 5.831
5.831 5.831 0.000
Rb Nb Hg Br
2 1 1 6
Cartesian
2.916 2.916 2.916 Rb
8.747 8.747 8.747 Rb
0.000 0.000 0.000 Nb
5.831 5.831 5.831 Hg
5.831 5.831 2.597 Br
5.831 2.597 5.831 Br
9.065 5.831 5.831 Br
2.597 5.831 5.831 Br
5.831 9.065 5.831 Br
5.831 5.831 9.065 Br
```

## Properties
Raw total energy ... -3.301 eV/atom
Space-group type ... No. 225

8.
Entry from OQMD: BP2Pd6 after structural relaxation (PBE).

```
BP2Pd6
1.0
6.461 0.000 0.000
-3.230 5.595 0.000
0.000 0.000 3.375
B P Pd
1 2 6
Cartesian
0.000 0.000 0.000 B
0.000 3.730 1.687 P
3.231 1.865 1.687 P
-0.815 1.412 1.687 Pd
-1.954 3.384 0.000 Pd
1.630 0.000 1.687 Pd
1.277 2.211 0.000 Pd
3.908 0.000 0.000 Pd
2.415 4.184 1.687 Pd
```

## Properties
Raw total energy ... -5.749 eV/atom
Space-group type ... No. 189